[1]
A relaxed Rb2B4Se5 crystal, computed with PBE.

Results
E: -4.4834 eV/atom
Symmetry: No. 12
Formation energy (no corrections): -0.295 eV per atom

Lattice parameters (Å, degrees): 6.5201 4.3694 14.0588 83.97 76.59 41.75
Closest atoms and distances in Å follow each position.
Fractional coordinates of all 11 atoms:
Rb: 0.3959 0.5688 0.6395  8 Se 3.47-3.82, 1 Rb 3.79
Rb: 0.6041 0.4312 0.3605  8 Se 3.47-3.82, 1 Rb 3.79
B: 0.4019 0.2318 0.9644  2 B 1.74
B: 0.5981 0.7682 0.0356  2 B 1.74
B: 0.9010 0.2333 0.9647  2 B 1.74-1.75
B: 0.0990 0.7667 0.0353  2 B 1.74-1.75
Se: 0.2225 0.1856 0.8692  2 B 2.08
Se: 0.7775 0.8144 0.1308  2 B 2.08
Se: 0.0000 0.5000 0.5000  8 Rb 3.47-3.77
Se: 0.7227 0.1856 0.8692  2 B 2.08
Se: 0.2773 0.8144 0.1308  2 B 2.08

[2]
A relaxed YHgIN2 crystal, computed with PBE.

Results
E: -4.2930 eV/atom
Offset from the most stable computed form: 0.000 eV per atom
Symmetry: No. 123
Formation energy (no corrections): 0.700 eV per atom

Lattice parameters (Å, degrees): 4.4199 4.4199 6.6107 90.00 90.00 90.00
Closest atoms and distances in Å follow each position.
Fractional coordinates of all 5 atoms:
I: 0.0000 0.0000 0.5000  4 Hg 3.13, 2 Y 3.31
Y: 0.0000 0.0000 0.0000  4 N 2.21
Hg: 0.5000 0.5000 0.5000  4 I 3.13
N: 0.0000 0.5000 0.0000  2 Y 2.21
N: 0.5000 0.0000 0.0000  2 Y 2.21

[3]
A relaxed PmLuTlIr crystal, computed with PBE.

Results
E: -5.5664 eV/atom
Symmetry: No. 216
Energy of formation from the pure elements: -0.4416 eV per atom

Lattice parameters (Å, degrees): 5.1185 5.1185 5.1185 60.00 60.00 60.00
Closest atoms and distances in Å follow each position.
Fractional coordinates of all 4 atoms:
Tl: 0.5000 0.5000 0.5000  4 Pm 3.13, 4 Lu 3.13
Ir: 0.0000 0.0000 0.0000  4 Lu 3.13, 4 Pm 3.13
Lu: 0.2500 0.2500 0.2500  4 Ir 3.13, 4 Tl 3.13
Pm: 0.7500 0.7500 0.7500  4 Tl 3.13, 4 Ir 3.13

[4]
A relaxed La3Pm8Cd crystal, computed with PBE.

Results
E: -4.0416 eV/atom
Symmetry: No. 121
Energy of formation from the pure elements: 0.4336 eV per atom

Lattice parameters (Å, degrees): 8.4443 8.4443 8.4443 94.19 117.61 117.61
Closest atoms and distances in Å follow each position.
Fractional coordinates of all 12 atoms:
La: 0.5000 0.7500 0.2500  4 Pm 3.46
La: 0.5000 0.2500 0.7500  4 Pm 3.46
La: 0.0000 0.5000 0.5000  8 Pm 3.11-3.27
Pm: 0.4977 0.2526 0.2526  1 Cd 3.08, 1 La 3.11, 2 Pm 3.21-3.32
Pm: 0.5023 0.7549 0.7549  1 Cd 3.08, 1 La 3.11, 2 Pm 3.21-3.32
Pm: 0.0000 0.7474 0.2451  1 Cd 3.08, 1 La 3.11, 2 Pm 3.21-3.32
Pm: 0.0000 0.2451 0.7474  1 Cd 3.08, 1 La 3.11, 2 Pm 3.21-3.32
Pm: 0.2496 0.3740 0.3740  3 Pm 3.09-3.32, 1 Cd 3.26, 1 La 3.27
Pm: 0.7504 0.1244 0.1244  3 Pm 3.09-3.32, 1 Cd 3.26, 1 La 3.27
Pm: 0.0000 0.6260 0.8756  3 Pm 3.09-3.32, 1 Cd 3.26, 1 La 3.27
Pm: 0.0000 0.8756 0.6260  3 Pm 3.09-3.32, 1 Cd 3.26, 1 La 3.27
Cd: 0.0000 0.0000 0.0000  8 Pm 3.08-3.26

[5]
A relaxed BaSr3Rh8 crystal, computed with PBE.

Results
E: -5.6955 eV/atom
Symmetry: No. 160
Energy of formation from the pure elements: -0.2138 eV per atom

Lattice parameters (Å, degrees): 5.5200 5.5200 9.5824 73.22 73.22 59.96
Closest atoms and distances in Å follow each position.
Fractional coordinates of all 12 atoms:
Ba: 0.8747 0.8747 0.3757  12 Rh 3.23-3.28, 4 Sr 3.38-3.39
Sr: 0.3753 0.3753 0.8741  12 Rh 3.20-3.24, 4 Sr 3.38
Sr: 0.9999 0.9999 0.0002  12 Rh 3.20-3.24, 3 Sr 3.38, 1 Ba 3.39
Sr: 0.4999 0.4999 0.5004  12 Rh 3.23-3.29, 1 Sr 3.38, 3 Ba 3.38
Rh: 0.9415 0.4376 0.1826  6 Rh 2.74-2.80
Rh: 0.4328 0.9378 0.6920  6 Rh 2.73-2.79
Rh: 0.4379 0.4379 0.1828  6 Rh 2.74-2.80
Rh: 0.9374 0.9374 0.6919  6 Rh 2.74-2.78
Rh: 0.1873 0.1873 0.4383  6 Rh 2.78-2.80
Rh: 0.6877 0.6877 0.9372  6 Rh 2.74
Rh: 0.4376 0.9415 0.1826  6 Rh 2.74-2.80
Rh: 0.9378 0.4328 0.6920  6 Rh 2.73-2.79

[6]
A relaxed BaTcTe2 crystal, computed with PBE.

Results
E: -4.6995 eV/atom
Offset from the most stable computed form: 0.454 eV per atom
Symmetry: No. 166
Formation energy (no corrections): -0.056 eV per atom

Lattice parameters (Å, degrees): 10.2398 10.2398 10.2398 22.57 22.57 22.57
Closest atoms and distances in Å follow each position.
Fractional coordinates of all 4 atoms:
Te: 0.8840 0.8840 0.8840  3 Tc 2.77
Te: 0.1160 0.1160 0.1160  3 Tc 2.77
Ba: 0.0000 0.0000 0.0000  2 Te 3.47
Tc: 0.5000 0.5000 0.5000  6 Te 2.77

[7]
A relaxed CeBRu2 crystal, computed with PBE.

Results
E: -7.8595 eV/atom
Symmetry: No. 166
Energy of formation from the pure elements: -0.0688 eV per atom

Lattice parameters (Å, degrees): 2.9861 2.9861 7.8557 79.04 79.04 60.00
Closest atoms and distances in Å follow each position.
Fractional coordinates of all 4 atoms:
Ru: 0.7211 0.7211 0.8368  3 B 2.13
Ru: 0.2789 0.2789 0.1632  3 B 2.13
B: 0.0000 0.0000 0.0000  6 Ru 2.13
Ce: 0.5000 0.5000 0.5000  6 Ce 2.99, 6 Ru 3.10

[8]
A relaxed BaY2CuO5 crystal, computed with PBE.

Results
E: -7.5253 eV/atom
Offset from the most stable computed form: 0.000 eV per atom
Symmetry: No. 62
Formation energy (no corrections): -2.665 eV per atom

Lattice parameters (Å, degrees): 5.7163 7.2598 12.2814 90.00 90.00 90.00
Closest atoms and distances in Å follow each position.
Fractional coordinates of all 36 atoms:
Ba: 0.7500 0.0679 0.0958  3 O 2.64-2.86
Ba: 0.2500 0.9321 0.9042  3 O 2.64-2.86
Ba: 0.2500 0.5679 0.4042  3 O 2.64-2.86
Ba: 0.7500 0.4321 0.5958  3 O 2.64-2.86
Y: 0.2500 0.1125 0.2868  7 O 2.31-2.39
Y: 0.7500 0.8875 0.7132  7 O 2.31-2.39
Y: 0.7500 0.6125 0.2132  7 O 2.31-2.39
Y: 0.2500 0.3875 0.7868  7 O 2.31-2.39
Y: 0.2500 0.3959 0.0739  7 O 2.29-2.41
Y: 0.7500 0.6041 0.9261  7 O 2.29-2.41
Y: 0.7500 0.8959 0.4261  7 O 2.29-2.41
Y: 0.2500 0.1041 0.5739  7 O 2.29-2.41
Cu: 0.7500 0.2810 0.3394  4 O 2.00-2.03
Cu: 0.2500 0.7190 0.6606  4 O 2.00-2.03
Cu: 0.2500 0.7810 0.1606  4 O 2.00-2.03
Cu: 0.7500 0.2190 0.8394  4 O 2.00-2.03
O: 0.5064 0.1613 0.4317  1 Cu 2.00
O: 0.0064 0.8387 0.5683  1 Cu 2.00
O: 0.4936 0.6613 0.0683  1 Cu 2.00
O: 0.9936 0.3387 0.9317  1 Cu 2.00
O: 0.4936 0.8387 0.5683  1 Cu 2.00
O: 0.9936 0.1613 0.4317  1 Cu 2.00
O: 0.5064 0.3387 0.9317  1 Cu 2.00
O: 0.0064 0.6613 0.0683  1 Cu 2.00
O: 0.5040 0.3546 0.2285  1 Cu 2.03
O: 0.0040 0.6454 0.7715  1 Cu 2.03
O: 0.4960 0.8546 0.2715  1 Cu 2.03
O: 0.9960 0.1454 0.7285  1 Cu 2.03
O: 0.4960 0.6454 0.7715  1 Cu 2.03
O: 0.9960 0.3546 0.2285  1 Cu 2.03
O: 0.5040 0.1454 0.7285  1 Cu 2.03
O: 0.0040 0.8546 0.2715  1 Cu 2.03
O: 0.2500 0.0838 0.0993  2 Y 2.29-2.31, 1 Cu 2.32
O: 0.7500 0.9162 0.9007  2 Y 2.29-2.31, 1 Cu 2.32
O: 0.7500 0.5838 0.4007  2 Y 2.29-2.31, 1 Cu 2.32
O: 0.2500 0.4162 0.5993  2 Y 2.29-2.31, 1 Cu 2.32

[9]
A relaxed Rb2PuThTe4 crystal, computed with PBE.

Results
E: -5.7052 eV/atom
Symmetry: No. 10
Formation energy (no corrections): -1.173 eV per atom

Lattice parameters (Å, degrees): 4.6187 7.9784 8.9965 107.21 90.00 90.00
Closest atoms and distances in Å follow each position.
Fractional coordinates of all 8 atoms:
Rb: 0.5000 0.0000 0.5000  6 Te 3.68-3.71
Rb: 0.0000 0.5000 0.5000  6 Te 3.65-3.67
Pu: 0.0000 0.0000 0.0000  6 Te 3.20-3.22
Th: 0.5000 0.5000 0.0000  6 Te 3.15-3.19
Te: 0.5000 0.2390 0.2033  1 Th 3.15, 2 Pu 3.20
Te: 0.5000 0.7610 0.7967  1 Th 3.15, 2 Pu 3.20
Te: 0.0000 0.2685 0.7944  2 Th 3.19, 1 Pu 3.22
Te: 0.0000 0.7315 0.2056  2 Th 3.19, 1 Pu 3.22

[10]
A relaxed BeS5Br crystal, computed with PBE.

Results
E: -3.8517 eV/atom
Symmetry: No. 5
Formation energy (no corrections): -0.132 eV per atom

Lattice parameters (Å, degrees): 5.1139 4.1085 11.9442 93.61 97.27 120.62
Closest atoms and distances in Å follow each position.
Fractional coordinates of all 7 atoms:
Be: 0.8110 0.3110 0.6220  2 S 2.13, 2 Br 2.34
S: 0.8816 0.1125 0.1042  2 S 2.04-2.05
S: 0.1090 0.6090 0.2179  2 S 2.05
S: 0.2226 0.9917 0.1042  2 S 2.04-2.05
S: 0.2334 0.5888 0.7432  1 S 2.01, 1 Be 2.13
S: 0.5098 0.1544 0.7432  1 S 2.01, 1 Be 2.13
Br: 0.7634 0.7634 0.5267  2 Be 2.34

[11]
A relaxed Mg2AlSb crystal, computed with PBE.

Results
E: -2.7170 eV/atom
Offset from the most stable computed form: 0.118 eV per atom
Symmetry: No. 99
Formation energy (no corrections): 0.047 eV per atom

Lattice parameters (Å, degrees): 3.2018 3.2018 8.8159 90.00 90.00 90.00
Closest atoms and distances in Å follow each position.
Fractional coordinates of all 4 atoms:
Al: 0.5000 0.5000 0.7658  4 Mg 2.99, 4 Al 3.20, 4 Sb 3.22
Mg: 0.0000 0.0000 0.9867  4 Al 2.99, 8 Mg 3.19-3.20
Mg: 0.5000 0.5000 0.2418  8 Mg 3.19-3.20, 4 Sb 3.25
Sb: 0.0000 0.0000 0.5056  4 Sb 3.20, 4 Al 3.22, 4 Mg 3.25

[12]
A relaxed ReN2OF crystal, computed with PBE.

Results
E: -5.1169 eV/atom
Symmetry: No. 123
Formation energy (no corrections): 2.069 eV per atom

Lattice parameters (Å, degrees): 3.5882 3.5882 3.4941 90.00 90.00 90.00
Closest atoms and distances in Å follow each position.
Fractional coordinates of all 5 atoms:
Re: 0.5000 0.5000 0.5000  8 N 2.50, 4 F 2.54
N: 0.0000 0.5000 0.0000  2 O 1.79
N: 0.5000 0.0000 0.0000  2 O 1.79
O: 0.0000 0.0000 0.0000  2 F 1.75, 4 N 1.79
F: 0.0000 0.0000 0.5000  2 O 1.75